Pd2Pb | PBE | optimized geometry

Structure (POSCAR):
```
Pd2Pb
1.0
3.617 -0.001 -0.037
-0.001 3.617 -0.037
-1.853 -1.853 4.325
Pb Pd
1 2
direct
0.500 0.500 0.000
0.168 0.168 0.339
0.832 0.832 0.661
```

Output
**Magnetization**: 0.000 μB/f.u.
**Theoretical density**: 12.4 g cm⁻³
**Total DFT energy (no corrections)**: -4.89 eV/atom
**Calculated formation energy**: -4.4 kcal/mol of atoms
**Symmetry**: C2/m (12)

***

LiReSi4 | PBE | optimized geometry

Structure (POSCAR):
```
LiReSi4
1.0
3.535 -3.207 0.889
0.587 -1.788 4.476
-1.105 -4.636 0.927
Li Re Si
1 1 4
direct
0.750 0.750 0.750
0.000 0.000 0.000
0.876 0.375 0.375
0.375 0.375 0.876
0.375 0.876 0.375
0.375 0.375 0.375
```

Output
**Magnetization**: 0.002 μB/f.u.
**Theoretical density**: 6.3 g cm⁻³
**Total DFT energy (no corrections)**: -5.60 eV/atom
**Symmetry**: F-43m (216)
**E_form (uncorrected)**: 2.45 eV/f.u.

***

Cd5InAg4 | PBE | optimized geometry

Structure (POSCAR):
```
Cd5InAg4
1.0
5.184 0.000 0.000
0.000 8.818 0.000
0.000 0.000 9.940
Cd In Ag
10 2 8
direct
0.243 0.832 0.769
0.243 0.168 0.769
0.931 0.500 0.000
0.243 0.832 0.231
0.243 0.168 0.231
0.757 0.668 0.269
0.757 0.332 0.269
0.069 0.000 0.500
0.757 0.332 0.731
0.757 0.668 0.731
0.589 0.000 0.000
0.411 0.500 0.500
0.756 0.000 0.734
0.445 0.668 0.000
0.445 0.332 0.000
0.756 0.000 0.266
0.244 0.500 0.234
0.555 0.832 0.500
0.555 0.168 0.500
0.244 0.500 0.766
```

Output
**Magnetization**: 0.000 μB/f.u.
**Distance to the lowest polymorph of the same formula**: 54 meV per atom
**Theoretical density**: 8.1 g cm⁻³
**Total DFT energy (no corrections)**: -1.83 eV/atom
**Calculated formation energy**: 1.0 kcal/mol of atoms
**Symmetry**: Pmmn (59)